ZnCoO2 | PBE with a Hubbard U | optimized geometry

Computed properties:
**Volume**: 49.4 Å³/f.u.
**Size of the total moment**: 0.750 μB/atom
**Total energy**: -21.16 eV per cell

Structure (POSCAR):
```
ZnCoO2
1.0
1.8881 0.0000 5.3335
-0.9440 1.6351 5.3335
-0.9440 -1.6351 5.3335
Zn Co O
1 1 2
direct
0.5005 0.5005 0.5005
0.0003 0.0003 0.0003
0.1249 0.1249 0.1249
0.6252 0.6252 0.6252
```